DFT (PBE) results for a relaxed structure of NpCl4.

Cell lengths 7.356, 7.356, 7.356 Å; angles 113.48, 109.34, 105.69 degrees
Sites, in units of the cell vectors:
1 Cl 0.292 0.245 0.537
2 Cl 0.708 0.245 0.953
3 Cl 0.800 0.800 0.000
4 Cl 0.708 0.755 0.463
5 Cl 0.292 0.755 0.047
6 Cl 0.801 0.301 0.500
7 Cl 0.199 0.699 0.500
8 Cl 0.200 0.200 0.000
9 Np 0.000 0.751 0.751
10 Np 0.000 0.249 0.249

Summary:
Its electronic total energy is -56.43 eV per cell.

---

DFT (PBE) results for a relaxed structure of PrNpCl6.

Cell lengths 7.455, 7.455, 4.288 Å; angles 90.00, 90.00, 120.00 degrees
Sites, in units of the cell vectors:
1 Cl 0.969 0.245 0.500
2 Cl 0.755 0.724 0.500
3 Cl 0.362 0.417 0.000
4 Cl 0.583 0.945 0.000
5 Cl 0.276 0.031 0.500
6 Cl 0.055 0.638 0.000
7 Pr 0.333 0.667 0.500
8 Np 0.000 0.000 0.000

Summary:
Its electronic total energy is -44.85 eV per cell.

---

DFT (PBE) results for a relaxed structure of RbNp2Cl8.

Cell lengths 7.672, 7.672, 5.420 Å; angles 95.41, 95.41, 112.70 degrees
Sites, in units of the cell vectors:
1 Np 0.678 0.322 0.500
2 Np 0.322 0.678 0.500
3 Cl 0.403 0.403 0.224
4 Cl 0.949 0.672 0.428
5 Cl 0.328 0.051 0.572
6 Cl 0.266 0.734 0.000
7 Cl 0.051 0.328 0.572
8 Cl 0.597 0.597 0.776
9 Cl 0.734 0.266 0.000
10 Cl 0.672 0.949 0.428
11 Rb 0.000 0.000 0.000

Summary:
Its electronic total energy is -60.80 eV per cell.

---

DFT (PBE) results for a relaxed structure of TbNpCl6.

Cell lengths 7.045, 7.045, 6.466 Å; angles 100.55, 100.55, 120.11 degrees
Sites, in units of the cell vectors:
1 Cl 0.426 0.067 0.757
2 Cl 0.773 0.781 0.753
3 Cl 0.933 0.574 0.243
4 Cl 0.060 0.412 0.759
5 Cl 0.588 0.940 0.241
6 Cl 0.219 0.227 0.247
7 Tb 0.834 0.166 0.000
8 Np 0.166 0.834 0.000

Summary:
Its electronic total energy is -44.52 eV per cell.

---

DFT (PBE) results for a relaxed structure of NpTl2Cl6.

Cell lengths 7.365, 7.365, 6.849 Å; angles 102.90, 102.90, 59.93 degrees
Sites, in units of the cell vectors:
1 Cl 0.155 0.657 0.169
2 Cl 0.343 0.845 0.831
3 Cl 0.169 0.169 0.308
4 Cl 0.831 0.831 0.692
5 Cl 0.845 0.343 0.831
6 Cl 0.657 0.155 0.169
7 Tl 0.291 0.291 0.780
8 Tl 0.709 0.709 0.220
9 Np 0.000 0.000 0.000

Summary:
The energy above the most stable polymorph in this dataset is 0.0000 eV/atom.

---

DFT (PBE) results for a relaxed structure of NpTl2Cl6.

Cell lengths 7.248, 7.248, 7.248 Å; angles 119.23, 119.23, 91.34 degrees
Sites, in units of the cell vectors:
1 Tl 0.750 0.250 0.500
2 Tl 0.250 0.750 0.500
3 Np 0.000 0.000 0.000
4 Cl 0.250 0.250 0.501
5 Cl 0.744 0.744 0.000
6 Cl 0.750 0.250 0.000
7 Cl 0.750 0.750 0.499
8 Cl 0.256 0.256 0.000
9 Cl 0.250 0.750 0.000

Summary:
The energy above the most stable polymorph in this dataset is 0.0324 eV/atom.

---

DFT (PBE) results for a relaxed structure of YNpCl6.

Cell lengths 7.014, 7.014, 6.460 Å; angles 100.49, 100.49, 120.05 degrees
Sites, in units of the cell vectors:
1 Cl 0.229 0.220 0.246
2 Cl 0.069 0.427 0.757
3 Cl 0.939 0.589 0.241
4 Cl 0.411 0.061 0.759
5 Cl 0.780 0.771 0.754
6 Cl 0.573 0.931 0.243
7 Y 0.166 0.834 0.000
8 Np 0.834 0.166 0.000

Summary:
Its electronic total energy is -46.33 eV per cell.

---

DFT (PBE) results for a relaxed structure of OsCl2O.

Cell lengths 6.488, 6.488, 7.222 Å; angles 107.29, 107.29, 33.36 degrees
Sites, in units of the cell vectors:
1 Os 0.000 0.000 0.750
2 Os 0.000 0.000 0.250
3 O 0.500 0.500 0.750
4 O 0.500 0.500 0.250
5 Cl 0.134 0.134 0.572
6 Cl 0.866 0.866 0.428
7 Cl 0.134 0.134 0.072
8 Cl 0.866 0.866 0.928

Summary:
Its electronic total energy is -44.99 eV per cell.

---

Taking the records one at a time from the top gives total magnetic moment values of 0.5999; 0.4999; 0.6364; 0.5001; 0.3333; 0.3329; 0.5001; 0.0010 μB/atom.